VASP calculation (PBE) on an optimized crystal structure of LiZnH3.

The structure in POSCAR format:
```
LiZnH3
1.0
-2.591 1.117 0.208
-1.733 -4.423 2.166
1.260 1.713 6.494
Li Zn H
2 2 6
Direct
0.250 0.313 0.644 Li
0.750 0.687 0.356 Li
0.250 0.205 0.209 Zn
0.750 0.795 0.791 Zn
0.750 0.086 0.676 H
0.750 0.570 0.638 H
0.250 0.914 0.324 H
0.250 0.430 0.362 H
0.250 0.745 0.936 H
0.750 0.255 0.064 H
```

Calculated values
raw total energy = -0.20370 Ry/atom
SG = P2_1/m